AlFePd14 | PBE-GGA | optimized geometry

The structure in extended XYZ format:
```
16
Lattice="-2.174 -3.188 -4.040 3.224 -4.262 1.628 -5.560 -2.354 4.849" Properties=species:S:1:pos:R:3 pbc="T T T"
Al -2.386 -3.970 1.520
Fe -1.861 -7.695 0.314
Pd 0.919 -6.518 -2.110
Pd 0.394 -2.794 -0.904
Pd -3.473 -5.564 -0.500
Pd -0.693 -4.387 -2.924
Pd -0.774 -6.101 2.334
Pd 2.006 -4.924 -0.090
Pd -2.392 -3.134 -1.067
Pd -5.078 -4.270 1.275
Pd 0.306 -3.670 1.766
Pd -2.380 -4.807 4.108
Pd -0.781 -5.263 -0.253
Pd -3.466 -6.400 2.089
Pd -1.306 -1.541 0.952
Pd -3.991 -2.678 3.294
```

Results
Energy relative to the elements ... -0.180 eV per atom
Total magnetic moment ... 5.77 Bohr magnetons per cell